Density functional theory data (PBE) for a relaxed structure of ZrScCl3.

Results
magnetic moment	2.5	Bohr magnetons per cell
SG	No. 221
formation energy (no corrections)	-0.62	eV/atom

Lattice parameters (Å, degrees): 5.072 5.072 5.072 90.00 90.00 90.00
Site moments in Bohr magnetons follow the coordinates.
Fractional coordinates of all 5 atoms:
Sc (0.500, 0.500, 0.500)  1.21
Zr (0.000, 0.000, 0.000)  0.36
Cl (0.000, 0.500, 0.000)  0.01
Cl (0.000, 0.000, 0.500)  0.01
Cl (0.500, 0.000, 0.000)  0.01



Density functional theory data (PBE) for a relaxed structure of Pm8NdCd2.

Results
magnetic moment	0.0	Bohr magnetons per cell
SG	No. 12
energy of formation	-0.80	eV per formula unit

Lattice parameters (Å, degrees): 5.427 8.517 8.899 113.52 107.75 90.00
Fractional coordinates of all 11 atoms:
Pm (0.602, 0.469, 0.205)
Pm (0.312, 0.043, 0.623)
Pm (0.151, 0.209, 0.302)
Pm (0.054, 0.737, 0.108)
Pm (0.849, 0.791, 0.698)
Pm (0.688, 0.957, 0.377)
Pm (0.398, 0.531, 0.795)
Pm (0.946, 0.263, 0.892)
Nd (0.500, 0.000, 0.000)
Cd (0.222, 0.631, 0.444)
Cd (0.778, 0.369, 0.556)



Density functional theory data (PBE) for a relaxed structure of Pm5TePb4.

Results
magnetic moment	0.0	Bohr magnetons per cell
SG	No. 87
formation energy (no corrections)	-0.67	eV/atom

Lattice parameters (Å, degrees): 6.401 7.852 7.852 80.44 65.95 65.95
Fractional coordinates of all 10 atoms:
Pm (0.904, 0.394, 0.801)
Pm (0.298, 0.801, 0.606)
Pm (0.704, 0.199, 0.394)
Pm (0.098, 0.606, 0.199)
Pm (0.501, 0.000, 0.000)
Te (0.001, 0.000, 0.000)
Pb (0.400, 0.401, 0.801)
Pb (0.801, 0.801, 0.599)
Pb (0.201, 0.199, 0.401)
Pb (0.602, 0.599, 0.199)



Density functional theory data (PBE) for a relaxed structure of ScTaHg3.

Results
magnetic moment	0.0	Bohr magnetons per cell
SG	No. 221
energy of formation	4.21	eV per formula unit

Lattice parameters (Å, degrees): 5.267 5.267 5.267 90.00 90.00 90.00
Fractional coordinates of all 5 atoms:
Sc (0.500, 0.500, 0.500)
Hg (0.000, 0.500, 0.000)
Hg (0.000, 0.000, 0.500)
Hg (0.500, 0.000, 0.000)
Ta (0.000, 0.000, 0.000)



Density functional theory data (PBE) for a relaxed structure of CuOsIN2.

Results
magnetic moment	0.3	Bohr magnetons per cell
SG	No. 123
formation energy (no corrections)	2.36	eV/atom

Lattice parameters (Å, degrees): 3.752 3.752 5.666 90.00 90.00 90.00
Site moments in Bohr magnetons follow the coordinates.
Fractional coordinates of all 5 atoms:
I (0.000, 0.000, 0.500)  0.00
Os (0.500, 0.500, 0.500)  0.21
Cu (0.000, 0.000, 0.000)  -0.02
N (0.000, 0.500, 0.000)  0.04
N (0.500, 0.000, 0.000)  0.04



Density functional theory data (PBE) for a relaxed structure of CeCoSiRh.

Results
magnetic moment	0.0	Bohr magnetons per cell
SG	No. 38
formation energy (no corrections)	-0.62	eV/atom

Lattice parameters (Å, degrees): 4.120 3.947 4.629 115.24 90.00 90.00
Fractional coordinates of all 4 atoms:
Ce (0.500, 0.219, 0.437)
Co (0.500, 0.477, 0.954)
Si (0.000, 0.600, 0.200)
Rh (0.000, 0.932, 0.864)



Density functional theory data (PBE) for a relaxed structure of Tl2CdP.

Results
magnetic moment	0.0	Bohr magnetons per cell
SG	No. 139
energy of formation	1.16	eV per formula unit

Lattice parameters (Å, degrees): 6.056 6.056 6.056 137.14 137.14 62.23
Fractional coordinates of all 4 atoms:
Cd (0.250, 0.750, 0.500)
P (0.750, 0.250, 0.500)
Tl (0.000, 0.000, 0.000)
Tl (0.500, 0.500, 0.000)



Density functional theory data (PBE) for a relaxed structure of NaBe3Ir.

Results
magnetic moment	0.0	Bohr magnetons per cell
SG	No. 221
energy of formation	0.59	eV per formula unit

Lattice parameters (Å, degrees): 4.323 4.323 4.323 90.00 90.00 90.00
Fractional coordinates of all 5 atoms:
Na (0.500, 0.500, 0.500)
Ir (0.000, 0.000, 0.000)
Be (0.000, 0.500, 0.000)
Be (0.000, 0.000, 0.500)
Be (0.500, 0.000, 0.000)



Density functional theory data (PBE) for a relaxed structure of Cu4NiW2.

Results
magnetic moment	0.0	Bohr magnetons per cell
SG	No. 139
energy of formation	8.73	eV per formula unit

Lattice parameters (Å, degrees): 4.456 4.456 6.798 70.87 70.87 90.00
Fractional coordinates of all 7 atoms:
Ni (0.000, 0.000, 0.000)
Cu (0.808, 0.808, 0.383)
Cu (0.192, 0.192, 0.617)
Cu (0.000, 0.500, 0.000)
Cu (0.500, 0.000, 0.000)
W (0.599, 0.599, 0.801)
W (0.401, 0.401, 0.199)



Density functional theory data (PBE) for a relaxed structure of MoOs2Cl.

Results
magnetic moment	0.0	Bohr magnetons per cell
SG	No. 65
formation energy (no corrections)	0.77	eV/atom

Lattice parameters (Å, degrees): 2.794 2.794 9.137 90.00 90.00 118.23
Fractional coordinates of all 4 atoms:
Cl (0.500, 0.500, 0.250)
Mo (0.500, 0.500, 0.750)
Os (0.000, 0.000, 0.991)
Os (0.000, 0.000, 0.509)



Density functional theory data (PBE) for a relaxed structure of Co2TeOs.

Results
magnetic moment	2.2	Bohr magnetons per cell
SG	No. 119
formation energy (no corrections)	0.47	eV/atom

Lattice parameters (Å, degrees): 4.610 4.610 4.610 130.10 130.11 73.24
Site moments in Bohr magnetons follow the coordinates.
Fractional coordinates of all 4 atoms:
Co (0.000, 0.000, 0.000)  0.84
Co (0.750, 0.250, 0.500)  1.25
Os (0.500, 0.500, 0.000)  0.16
Te (0.250, 0.750, 0.500)  0.00



Density functional theory data (PBE) for a relaxed structure of ScB6Ir12.

Results
magnetic moment	0.0	Bohr magnetons per cell
SG	No. 166
energy of formation	-3.53	eV per formula unit

Lattice parameters (Å, degrees): 6.540 6.540 6.540 104.25 104.25 104.25
Fractional coordinates of all 19 atoms:
Sc (0.000, 0.000, 0.000)
B (0.669, 0.232, 0.232)
B (0.232, 0.232, 0.669)
B (0.232, 0.669, 0.232)
B (0.768, 0.768, 0.331)
B (0.331, 0.768, 0.768)
B (0.768, 0.331, 0.768)
Ir (0.865, 0.135, 0.500)
Ir (0.816, 0.557, 0.557)
Ir (0.557, 0.557, 0.816)
Ir (0.443, 0.184, 0.443)
Ir (0.443, 0.443, 0.184)
Ir (0.184, 0.443, 0.443)
Ir (0.135, 0.500, 0.865)
Ir (0.500, 0.865, 0.135)
Ir (0.135, 0.865, 0.500)
Ir (0.865, 0.500, 0.135)
Ir (0.500, 0.135, 0.865)
Ir (0.557, 0.816, 0.557)